An optimized crystal structure of PrEuI2, computed with GGA-PBE.

Output
Energy = -64.7 eV for the cell shown
Fermi-level density of states = 3.9 states/eV/f.u.
Formation energy from raw total energies = -854 meV/atom
Symmetry = R-3m (166)
ρ = 5.7 g cm⁻³

Cell: 4.1139 4.1139 32.7391 Å, 90.00 90.00 120.00°
Element x y z (fractional)
Pr (0.0000, 0.0000, 0.0000)
Pr (0.3333, 0.6667, 0.6667)
Pr (0.6667, 0.3333, 0.3333)
Eu (0.0000, 0.0000, 0.5000)
Eu (0.3333, 0.6667, 0.1667)
Eu (0.6667, 0.3333, 0.8333)
I (0.0000, 0.0000, 0.0984)
I (0.0000, 0.0000, 0.9016)
I (0.3333, 0.6667, 0.5683)
I (0.3333, 0.6667, 0.7651)
I (0.6667, 0.3333, 0.2349)
I (0.6667, 0.3333, 0.4317)


An optimized crystal structure of PrEuTeI, computed with GGA-PBE.

Output
Energy = -97.9 eV for the cell shown
Fermi-level density of states = 2.4 states/eV/f.u.
Formation energy from raw total energies = -1183 meV/atom
Symmetry = F-43m (216)
ρ = 7.4 g cm⁻³

Cell: 7.9052 7.9052 7.9052 Å, 90.00 90.00 90.00°
Element x y z (fractional)
Pr (0.0000, 0.0000, 0.0000)
Pr (0.0000, 0.5000, 0.5000)
Pr (0.5000, 0.0000, 0.5000)
Pr (0.5000, 0.5000, 0.0000)
Eu (0.0000, 0.0000, 0.5000)
Eu (0.0000, 0.5000, 0.0000)
Eu (0.5000, 0.0000, 0.0000)
Eu (0.5000, 0.5000, 0.5000)
Te (0.2500, 0.2500, 0.7500)
Te (0.2500, 0.7500, 0.2500)
Te (0.7500, 0.2500, 0.2500)
Te (0.7500, 0.7500, 0.7500)
I (0.2500, 0.2500, 0.2500)
I (0.2500, 0.7500, 0.7500)
I (0.7500, 0.2500, 0.7500)
I (0.7500, 0.7500, 0.2500)


An optimized crystal structure of Eu2PtI, computed with GGA-PBE.

Output
Energy = -98.0 eV for the cell shown
Fermi-level density of states = 19.2 states/eV/f.u.
Formation energy from raw total energies = -1134 meV/atom
Distance to the lowest polymorph of the same formula = 0.0 meV per atom
Symmetry = R-3m (166)
ρ = 8.0 g cm⁻³

Cell: 4.3269 4.3269 24.0258 Å, 90.00 90.00 120.00°
Element x y z (fractional)
Eu (0.0000, 0.0000, 0.2325)
Eu (0.0000, 0.0000, 0.7675)
Eu (0.3333, 0.6667, 0.4341)
Eu (0.3333, 0.6667, 0.8992)
Eu (0.6667, 0.3333, 0.1008)
Eu (0.6667, 0.3333, 0.5659)
Pt (0.0000, 0.0000, 0.5000)
Pt (0.3333, 0.6667, 0.1667)
Pt (0.6667, 0.3333, 0.8333)
I (0.0000, 0.0000, 0.0000)
I (0.3333, 0.6667, 0.6667)
I (0.6667, 0.3333, 0.3333)